1.
# Y7Cd2Ir2 PBE optimized geometry
# Total magnetization: 0.00 μB per atom
# N(E_F): 10.920 states/eV/f.u.
# Total DFT energy (no corrections): -6.285 eV per atom
# E_form: -0.394 eV per atom
# Theoretical density: 6.42 g/cm3
data_Y7Cd2Ir2
_symmetry_space_group_name_H-M 'C m m m'
_symmetry_Int_Tables_number 65
_symmetry_space_group_name_Hall '-C 2 2'
_cell_length_a 8.172
_cell_length_b 10.915
_cell_length_c 7.145
_cell_angle_alpha 90.00
_cell_angle_beta 90.00
_cell_angle_gamma 90.00
loop_
_atom_site_label
_atom_site_type_symbol
_atom_site_fract_x
_atom_site_fract_y
_atom_site_fract_z
Y1 Y 0.000 0.000 0.000
Y2 Y 0.000 0.500 0.243
Y3 Y 0.250 0.250 0.249
Cd1 Cd 0.176 0.000 0.500
Ir1 Ir 0.000 0.287 0.000

2.
# PuPaPb2 PBE optimized geometry
# Total magnetization: 1.93 μB per atom
# N(E_F): 11.103 states/eV/f.u.
# Total DFT energy (no corrections): -7.835 eV per atom
# E_form: -0.024 eV per atom
# Theoretical density: 13.34 g/cm3
data_PuPaPb2
_symmetry_space_group_name_H-M 'P 4/m m m'
_symmetry_Int_Tables_number 123
_symmetry_space_group_name_Hall '-P 4 2'
_cell_length_a 4.878
_cell_length_b 4.878
_cell_length_c 4.654
_cell_angle_alpha 90.00
_cell_angle_beta 90.00
_cell_angle_gamma 90.00
loop_
_atom_site_label
_atom_site_type_symbol
_atom_site_fract_x
_atom_site_fract_y
_atom_site_fract_z
Pu1 Pu 0.000 0.000 0.000
Pa1 Pa 0.500 0.500 0.000
Pb1 Pb 0.000 0.500 0.500

3.
# PmGeS PBE optimized geometry
# Formation energy without anion corrections: -1.32 eV/atom
# Total magnetization: 0.00 μB per atom
# N(E_F): 1.157 states/eV/f.u.
# Total DFT energy (no corrections): -5.816 eV per atom
# Theoretical density: 6.10 g/cm3
data_PmGeS
_symmetry_space_group_name_H-M 'I 4/m m m'
_symmetry_Int_Tables_number 139
_symmetry_space_group_name_Hall '-I 4 2'
_cell_length_a 3.875
_cell_length_b 3.875
_cell_length_c 18.121
_cell_angle_alpha 90.00
_cell_angle_beta 90.00
_cell_angle_gamma 90.00
loop_
_atom_site_label
_atom_site_type_symbol
_atom_site_fract_x
_atom_site_fract_y
_atom_site_fract_z
Pm1 Pm 0.000 0.000 0.149
Ge1 Ge 0.000 0.500 0.000
S1 S 0.000 0.000 0.312

4.
# TcSbCl2 PBE optimized geometry
# Formation energy without anion corrections: 0.72 eV/atom
# Total magnetization: 0.81 μB per atom
# N(E_F): 3.070 states/eV/f.u.
# Total DFT energy (no corrections): -3.821 eV per atom
# Theoretical density: 5.67 g/cm3
data_TcSbCl2
_symmetry_space_group_name_H-M 'P 4/m m m'
_symmetry_Int_Tables_number 123
_symmetry_space_group_name_Hall '-P 4 2'
_cell_length_a 5.050
_cell_length_b 5.050
_cell_length_c 3.340
_cell_angle_alpha 90.00
_cell_angle_beta 90.00
_cell_angle_gamma 90.00
loop_
_atom_site_label
_atom_site_type_symbol
_atom_site_fract_x
_atom_site_fract_y
_atom_site_fract_z
Tc1 Tc 0.000 0.000 0.000
Sb1 Sb 0.500 0.500 0.000
Cl1 Cl 0.000 0.500 0.500

5.
# Tb5Pr8Er PBE optimized geometry
# Total magnetization: 0.00 μB per atom
# N(E_F): 20.750 states/eV/f.u.
# Total DFT energy (no corrections): -4.461 eV per atom
# E_form: 0.250 eV per atom
# Theoretical density: 7.00 g/cm3
data_Tb5Pr8Er
_symmetry_space_group_name_H-M 'I -4'
_symmetry_Int_Tables_number 82
_symmetry_space_group_name_Hall 'I -4'
_cell_length_a 9.798
_cell_length_b 9.798
_cell_length_c 10.321
_cell_angle_alpha 90.00
_cell_angle_beta 90.00
_cell_angle_gamma 90.00
loop_
_atom_site_label
_atom_site_type_symbol
_atom_site_fract_x
_atom_site_fract_y
_atom_site_fract_z
Tb1 Tb 0.000 0.000 0.000
Tb2 Tb 0.107 0.796 0.574
Pr1 Pr 0.068 0.672 0.907
Pr2 Pr 0.088 0.819 0.247
Er1 Er 0.000 0.500 0.250

6.
# FeNiMo2 PBE optimized geometry
# Total magnetization: 0.37 μB per atom
# N(E_F): 4.702 states/eV/f.u.
# Total DFT energy (no corrections): -8.855 eV per atom
# E_form: 0.122 eV per atom
# Theoretical density: 9.39 g/cm3
data_FeNiMo2
_symmetry_space_group_name_H-M 'P 4 m m'
_symmetry_Int_Tables_number 99
_symmetry_space_group_name_Hall 'P 4 -2'
_cell_length_a 3.149
_cell_length_b 3.149
_cell_length_c 5.464
_cell_angle_alpha 90.00
_cell_angle_beta 90.00
_cell_angle_gamma 90.00
loop_
_atom_site_label
_atom_site_type_symbol
_atom_site_fract_x
_atom_site_fract_y
_atom_site_fract_z
Fe1 Fe 0.000 0.000 0.000
Ni1 Ni 0.500 0.500 0.770
Mo1 Mo 0.000 0.000 0.537
Mo2 Mo 0.500 0.500 0.246

7.
# Sm12Cu6Pd PBE optimized geometry
# Total magnetization: 0.00 μB per atom
# N(E_F): 25.596 states/eV/f.u.
# Total DFT energy (no corrections): -4.540 eV per atom
# E_form: 0.008 eV per atom
# Theoretical density: 6.88 g/cm3
data_Sm12Cu6Pd
_symmetry_space_group_name_H-M 'R -3'
_symmetry_Int_Tables_number 148
_symmetry_space_group_name_Hall '-R 3'
_cell_length_a 12.5869
_cell_length_b 12.5869
_cell_length_c 12.0948
_cell_angle_alpha 90.00
_cell_angle_beta 90.00
_cell_angle_gamma 120.00
loop_
_atom_site_label
_atom_site_type_symbol
_atom_site_fract_x
_atom_site_fract_y
_atom_site_fract_z
Sm1 Sm 0.0251 0.8246 0.3890
Sm2 Sm 0.0326 0.8298 0.8768
Cu1 Cu 0.0435 0.7754 0.6462
Pd1 Pd 0.0000 0.0000 0.0000

8.
# La2CeH8 PBE optimized geometry
# Total magnetization: 0.09 μB per atom
# N(E_F): 8.249 states/eV/f.u.
# Total DFT energy (no corrections): -4.457 eV per atom
# Theoretical density: 5.58 g/cm3
data_La2CeH8
_symmetry_space_group_name_H-M 'I m m m'
_symmetry_Int_Tables_number 71
_symmetry_space_group_name_Hall '-I 2 2'
_cell_length_a 3.914
_cell_length_b 5.523
_cell_length_c 11.724
_cell_angle_alpha 90.00
_cell_angle_beta 90.00
_cell_angle_gamma 90.00
loop_
_atom_site_label
_atom_site_type_symbol
_atom_site_fract_x
_atom_site_fract_y
_atom_site_fract_z
La1 La 0.000 0.000 0.169
Ce1 Ce 0.000 0.000 0.500
H1 H 0.000 0.239 0.000
H2 H 0.000 0.257 0.342
H3 H 0.000 0.500 0.159

> What is the total magnetization in the first record?

0.00 μB per atom

> Which value of total magnetization does entry 7 give?

0.00 μB per atom

> Look up the total DFT energy (no corrections) of the seventh one.

-4.540 eV per atom

> Among the records above, which one has the highest theoretical density?

PuPaPb2